[1]
This record from Alexandria via LeMat-Bulk describes an optimized crystal structure of POs2Ru. The functional is PBE.

Properties
Its space-group type is P4/mmm. The value obtained for the formation energy is 539 meV per atom. The value obtained for the mass density is 15.39 g cm⁻³. Its total energy is -34.989 eV for the cell shown.

a b c (Å): 3.8392 3.8392 3.7512
angles (deg): 90.00 90.00 90.00
Last column: nearest neighbours and their distance in Å.
Fractional positions:
Os1 0.5000 0.0000 0.0000  4 Ru 2.68, 4 P 2.68, 4 Os 2.71
P1 0.5000 0.5000 0.5000  8 Os 2.68, 4 Ru 2.71
Os2 0.0000 0.5000 0.0000  4 Ru 2.68, 4 P 2.68, 4 Os 2.71
Ru1 0.0000 0.0000 0.5000  8 Os 2.68, 4 P 2.71


[2]
This record from Alexandria via LeMat-Bulk describes an optimized crystal structure of POs2Ru. The functional is PBE.

Properties
Its space-group type is I4/mmm. The value obtained for the formation energy is 396 meV per atom. The value obtained for the mass density is 15.51 g cm⁻³. Its total energy is -35.559 eV for the cell shown.

a b c (Å): 4.6040 4.6040 4.6040
angles (deg): 130.67 130.67 72.33
Last column: nearest neighbours and their distance in Å.
Fractional positions:
Ru1 0.0000 0.0000 0.0000  8 Os 2.67, 4 P 2.72
Os1 0.2500 0.7500 0.5000  4 P 2.67, 4 Ru 2.67, 4 Os 2.72
P1 0.5000 0.5000 0.0000  8 Os 2.67, 4 Ru 2.72
Os2 0.7500 0.2500 0.5000  4 P 2.67, 4 Ru 2.67, 4 Os 2.72


[3]
This record from Alexandria via LeMat-Bulk describes an optimized crystal structure of POs2Ru. The functional is PBE.

Properties
Its space-group type is Cm. The value obtained for the formation energy is 40 meV per atom. The value obtained for the mass density is 15.47 g cm⁻³. Its total energy is -36.987 eV for the cell shown.

a b c (Å): 5.2798 5.2798 3.8294
angles (deg): 89.88 89.88 31.01
Last column: nearest neighbours and their distance in Å.
Fractional positions:
Ru1 0.3148 0.3148 0.6250  1 P 2.31
Os1 0.9556 0.9556 0.1240  4 P 2.53-2.54, 5 Os 2.73-2.82, 4 Ru 2.78
P1 0.5422 0.5422 0.6254  1 Ru 2.31, 6 Os 2.42-2.54
Os2 0.6875 0.6875 0.1257  2 P 2.42


[4]
This record from Alexandria via LeMat-Bulk describes an optimized crystal structure of POs2Ru. The functional is PBE.

Properties
Its space-group type is C2/m. The value obtained for the formation energy is 152 meV per atom. The value obtained for the mass density is 14.88 g cm⁻³. Its total energy is -36.536 eV for the cell shown.

a b c (Å): 4.9332 4.9332 4.2920
angles (deg): 89.47 89.47 33.20
Last column: nearest neighbours and their distance in Å.
Fractional positions:
Ru1 0.5000 0.5000 0.5000  4 P 2.57, 6 Os 2.71-2.86, 2 Ru 2.82
P1 0.0000 0.0000 0.0000  2 Os 2.33, 4 Ru 2.57
Os1 0.7825 0.7825 0.2575  1 P 2.33, 2 Os 2.58
Os2 0.2175 0.2175 0.7425  1 P 2.33, 2 Os 2.58


[5]
This record from Alexandria via LeMat-Bulk describes an optimized crystal structure of POsRu. The functional is PBE.

Properties
Its space-group type is Fmm2. The value obtained for the formation energy is 354 meV per atom. The value obtained for the mass density is 12.61 g cm⁻³. Its total energy is -24.853 eV for the cell shown. For the excess energy over the best structure of this formula in the dataset, the calculation gives 428 meV per atom.

a b c (Å): 6.4757 6.1545 2.8581
angles (deg): 83.29 70.71 26.00
Last column: nearest neighbours and their distance in Å.
Fractional positions:
P1 0.6673 0.6673 0.3327  2 Ru 2.28, 2 Os 2.30
Ru1 0.3154 0.3154 0.6846  2 P 2.28
Os1 0.0173 0.0173 0.9827  2 P 2.30


[6]
This record from Alexandria via LeMat-Bulk describes an optimized crystal structure of POs2Ru. The functional is PBE.

Properties
Its space-group type is Cmmm. The value obtained for the formation energy is 578 meV per atom. The value obtained for the mass density is 14.94 g cm⁻³. Its total energy is -34.835 eV for the cell shown.

a b c (Å): 2.7979 2.7979 8.3920
angles (deg): 90.00 90.00 119.86
Last column: nearest neighbours and their distance in Å.
Fractional positions:
Os1 0.0000 0.0000 0.2757  2 P 2.35
Ru1 0.5000 0.5000 0.0000  4 Os 2.71, 6 Ru 2.80
Os2 0.0000 0.0000 0.7243  2 P 2.35
P1 0.5000 0.5000 0.5000  4 Os 2.35